[1]
Below is a geometry-optimized LiLa2Se2 structure, with properties calculated at the PBE level.

ΔE_f (raw) (eV/atom): -1.444
Total DFT energy (no corrections) (eV/f.u.): -26.0
Total magnetization (μB per cell): 0.0

a b c (Å): 8.0003 8.0003 4.0665
angles (deg): 90.00 90.00 90.00
Last column: nearest neighbours and their distance in Å.
Element x y z (fractional)
Li  0.0000  0.0000  0.0000  4 Se 3.05
Li  0.5000  0.5000  0.0000  4 Se 3.05
La  0.1564  0.3436  0.5000  6 Se 2.99-3.18
La  0.3436  0.8436  0.5000  6 Se 2.99-3.18
La  0.6564  0.1564  0.5000  6 Se 2.99-3.18
La  0.8436  0.6564  0.5000  6 Se 2.99-3.18
Se  0.1492  0.6492  0.0000  6 La 2.99-3.18, 2 Li 3.05
Se  0.3508  0.1492  0.0000  6 La 2.99-3.18, 2 Li 3.05
Se  0.6492  0.8508  0.0000  6 La 2.99-3.18, 2 Li 3.05
Se  0.8508  0.3508  0.0000  6 La 2.99-3.18, 2 Li 3.05

***

[2]
Below is a geometry-optimized Ni7Bi2As2Pt structure, with properties calculated at the PBE level.

Formation energy from the elements (eV/atom): -0.077
Total DFT energy (no corrections) (eV/f.u.): -64.5
Total magnetization (μB per cell): 0.0

a b c (Å): 3.7099 3.7099 14.6147
angles (deg): 97.25 97.25 89.99
Last column: nearest neighbours and their distance in Å.
Element x y z (fractional)
Ni  0.0000  0.0000  0.0000  8 Ni 2.60-2.61, 4 Pt 2.62
Ni  0.0637  0.5640  0.1270  2 As 2.34, 2 Ni 2.60-2.61, 2 Pt 2.60
Ni  0.1925  0.1925  0.3855  1 As 2.30
Ni  0.4360  0.9363  0.8730  2 As 2.34, 2 Ni 2.60-2.61, 2 Pt 2.60
Ni  0.5640  0.0637  0.1270  2 As 2.34, 2 Ni 2.60-2.61, 2 Pt 2.60
Ni  0.8075  0.8075  0.6145  1 As 2.30
Ni  0.9363  0.4360  0.8730  2 As 2.34, 2 Ni 2.60-2.61, 2 Pt 2.60
Bi  0.2908  0.2908  0.5805  5 Ni 2.67-2.80
Bi  0.7092  0.7092  0.4195  5 Ni 2.67-2.80
As  0.1131  0.1131  0.2258  5 Ni 2.30-2.34
As  0.8869  0.8869  0.7742  5 Ni 2.30-2.34
Pt  0.5000  0.5000  0.0000  12 Ni 2.60-2.62

***

[3]
Below is a geometry-optimized Tb15Dy2Ho2 structure, with properties calculated at the PBE level.

Formation energy from the elements (eV/atom): 0.287
Total DFT energy (no corrections) (eV/f.u.): -82.4
Total magnetization (μB per cell): 0.0

a b c (Å): 8.7032 8.7032 8.7032
angles (deg): 79.11 79.11 79.11
Last column: nearest neighbours and their distance in Å.
Element x y z (fractional)
Tb  0.0000  0.0000  0.5000  8 Tb 3.33-3.40, 2 Ho 3.44
Tb  0.0000  0.2979  0.7021  6 Tb 3.27-3.40
Tb  0.0000  0.5000  0.0000  8 Tb 3.33-3.40, 2 Ho 3.44
Tb  0.0000  0.7021  0.2979  6 Tb 3.27-3.40
Tb  0.1508  0.6257  0.6257  6 Tb 3.25-3.33
Tb  0.2979  0.0000  0.7021  6 Tb 3.27-3.40
Tb  0.2979  0.7021  0.0000  6 Tb 3.27-3.40
Tb  0.3743  0.3743  0.8492  6 Tb 3.25-3.33
Tb  0.3743  0.8492  0.3743  6 Tb 3.25-3.33
Tb  0.5000  0.0000  0.0000  8 Tb 3.33-3.40, 2 Ho 3.44
Tb  0.6257  0.1508  0.6257  6 Tb 3.25-3.33
Tb  0.6257  0.6257  0.1508  6 Tb 3.25-3.33
Tb  0.7021  0.0000  0.2979  6 Tb 3.27-3.40
Tb  0.7021  0.2979  0.0000  6 Tb 3.27-3.40
Tb  0.8492  0.3743  0.3743  6 Tb 3.25-3.33
Dy  0.3205  0.3205  0.3205  15 Tb 3.91-4.20, 1 Ho 3.99
Dy  0.6795  0.6795  0.6795  15 Tb 3.91-4.20, 1 Ho 3.99
Ho  0.0948  0.0948  0.0948  1 Ho 3.36, 9 Tb 3.44-3.70
Ho  0.9052  0.9052  0.9052  1 Ho 3.36, 9 Tb 3.44-3.70

***

[4]
Below is a geometry-optimized LiCeAs structure, with properties calculated at the PBE level.

Formation energy from the elements (eV/atom): -0.896
Total DFT energy (no corrections) (eV/f.u.): -15.2
Total magnetization (μB per cell): 1.9

a b c (Å): 4.2400 4.2400 4.1114
angles (deg): 90.00 90.00 120.00
Last column: nearest neighbours and their distance in Å.
Element x y z (fractional)
Li  0.0000  0.0000  0.0000  3 As 2.45
Ce  0.6667  0.3333  0.5000  6 Li 3.20, 6 As 3.20
As  0.3333  0.6667  0.0000  3 Li 2.45

***

[5]
Below is a geometry-optimized VMo2RuCl structure, with properties calculated at the PBE level.

ΔE_f (raw) (eV/atom): 1.562
Total DFT energy (no corrections) (eV/f.u.): -34.1
Total magnetization (μB per cell): 1.0

a b c (Å): 4.5661 4.5661 4.3411
angles (deg): 90.00 90.00 90.00
Last column: nearest neighbours and their distance in Å.
Element x y z (fractional)
V  0.0000  0.0000  0.0000  2 Cl 2.17, 4 Mo 2.28
Mo  0.0000  0.5000  0.0000  2 V 2.28
Mo  0.5000  0.0000  0.0000  2 V 2.28
Ru  0.5000  0.5000  0.5000  8 Mo 3.15, 4 Cl 3.23
Cl  0.0000  0.0000  0.5000  2 V 2.17

***

[6]
Below is a geometry-optimized Ac2Mn2Si2C structure, with properties calculated at the PBE level.

ΔE_f (raw) (eV/atom): -0.407
Total DFT energy (no corrections) (eV/f.u.): -49.5
Total magnetization (μB per cell): 0.0

a b c (Å): 6.0586 6.0586 7.4573
angles (deg): 125.22 125.22 39.82
Last column: nearest neighbours and their distance in Å.
Element x y z (fractional)
Ac  0.0562  0.0562  0.3010  2 C 2.82
Ac  0.9438  0.9438  0.6990  2 C 2.82
Mn  0.3131  0.3131  0.9235  1 C 1.84
Mn  0.6869  0.6869  0.0765  1 C 1.84
Si  0.3024  0.3024  0.2272  3 Mn 2.33-2.34
Si  0.6976  0.6976  0.7728  3 Mn 2.33-2.34
C  0.5000  0.5000  0.0000  2 Mn 1.84

***

[7]
Below is a geometry-optimized NbBSb2Pb structure, with properties calculated at the PBE level.

ΔE_f (raw) (eV/atom): 2.268
Total DFT energy (no corrections) (eV/f.u.): -17.4
Total magnetization (μB per cell): 2.6

a b c (Å): 5.7673 5.7673 5.4307
angles (deg): 90.00 90.00 90.00
Last column: nearest neighbours and their distance in Å.
Element x y z (fractional)
Nb  0.0000  0.0000  0.0000  2 Pb 2.72
B  0.5000  0.5000  0.0000  8 Sb 3.96, 4 Nb 4.08
Sb  0.0000  0.5000  0.5000  2 Pb 2.88
Sb  0.5000  0.0000  0.5000  2 Pb 2.88
Pb  0.0000  0.0000  0.5000  2 Nb 2.72, 4 Sb 2.88

***

[8]
Below is a geometry-optimized La2PmSnC structure, with properties calculated at the PBE level.

Formation energy from the elements (eV/atom): -0.489
Total DFT energy (no corrections) (eV/f.u.): -30.3
Total magnetization (μB per cell): 0.0

a b c (Å): 5.1990 5.1990 5.1140
angles (deg): 90.00 90.00 90.00
Last column: nearest neighbours and their distance in Å.
Element x y z (fractional)
La  0.0000  0.5000  0.0000  2 C 2.60
La  0.5000  0.0000  0.0000  2 C 2.60
Pm  0.0000  0.0000  0.5000  2 C 2.56
Sn  0.5000  0.5000  0.5000  8 La 3.65, 4 Pm 3.68
C  0.0000  0.0000  0.0000  2 Pm 2.56, 4 La 2.60